Here is a PBEsol-optimized structure of BeCoS2Cl from the Alexandria database. Energies are from meta-GGA SCAN.

a = 4.2175 Å, b = 4.2175 Å, c = 4.4483 Å
α = 90.00°, β = 90.00°, γ = 90.00°
Closest atoms and distances in Å follow each position.
Positions (direct):
1 Be 0.0000 0.0000 0.0000  4 S 2.11, 2 Cl 2.22
2 Cl 0.0000 0.0000 0.5000  2 Be 2.22
3 S 0.5000 0.0000 0.0000  2 Be 2.11
4 Co 0.5000 0.5000 0.5000  4 Cl 2.98, 8 S 3.06
5 S 0.0000 0.5000 0.0000  2 Be 2.11

Output
Raw formation energy   29 kJ/mol of atoms
Density of states at the Fermi level   2.075 states/eV per cell
Volume   79 Å³ per cell